# Pm6NdTl2 | Alexandria via LeMat-Bulk | PBE | relaxed
# Space group = C2/m, No. 12
# Fermi-level density of states = 11.672 states/eV/f.u.
# Density = 8037 kg/m3
# Polymorph energy (0 for the lowest one) = 0.00 eV per formula unit
# Energy = -39.34 eV for the cell shown
data_Pm6NdTl2
_space_group_name_H-M_alt 'P 1'
_space_group_IT_number 1
_cell_length_a 6.874
_cell_length_b 6.874
_cell_length_c 12.181
_cell_angle_alpha 107.45
_cell_angle_beta 107.45
_cell_angle_gamma 32.52
loop_
_space_group_symop_operation_xyz
'x,y,z'
loop_
_atom_site_label
_atom_site_fract_x
_atom_site_fract_y
_atom_site_fract_z
Pm1 0.010 0.010 0.343
Pm2 0.308 0.308 0.415
Pm3 0.312 0.312 0.126
Pm4 0.688 0.688 0.874
Pm5 0.692 0.692 0.585
Pm6 0.990 0.990 0.657
Nd1 0.000 0.000 0.000
Tl1 0.361 0.361 0.790
Tl2 0.639 0.639 0.210